Record 1
This record from Alexandria describes a geometry-optimized RbInIr2 structure. The functional is GGA-PBE.

Results
Its symmetry is I4_1/amd. The calculation puts the mass density at 8.31 g cm⁻³. As for the total energy: -38.12 eV per cell.

POSCAR file:
```
RbInIr2
1.0
-2.492 2.492 9.412
2.492 -2.492 9.412
2.492 2.492 -9.412
Rb In Ir
2 2 4
direct
0.375 0.625 0.750 Rb
0.625 0.375 0.250 Rb
0.125 0.875 0.250 In
0.875 0.125 0.750 In
0.000 0.000 0.000 Ir
0.000 0.000 0.500 Ir
0.000 0.500 0.000 Ir
0.500 0.000 0.500 Ir
```

Record 2
This record from Alexandria describes a geometry-optimized CaH3Pt structure. The functional is GGA-PBE.

Results
Its symmetry is I-4m2. The calculation puts the mass density at 6.72 g cm⁻³. As for the total energy: -37.81 eV per cell.

POSCAR file:
```
CaH3Pt
1.0
-1.966 1.966 7.611
1.966 -1.966 7.611
1.966 1.966 -7.611
Ca H Pt
2 6 2
direct
0.000 0.000 0.000 Ca
0.750 0.250 0.500 Ca
0.345 0.345 0.000 H
0.500 0.100 0.400 H
0.655 0.655 0.000 H
0.701 0.100 0.600 H
0.900 0.299 0.400 H
0.900 0.500 0.600 H
0.155 0.655 0.500 Pt
0.345 0.845 0.500 Pt
```

Record 3
This record from Alexandria describes a geometry-optimized K2RbSr structure. The functional is GGA-PBE.

Results
Its symmetry is Fm-3m. The calculation puts the mass density at 1.47 g cm⁻³. As for the total energy: -4.38 eV per cell.

POSCAR file:
```
K2RbSr
1.0
0.000 5.219 5.219
5.219 0.000 5.219
5.219 5.219 0.000
K Rb Sr
2 1 1
direct
0.250 0.250 0.250 K
0.750 0.750 0.750 K
0.000 0.000 0.000 Rb
0.500 0.500 0.500 Sr
```

Record 4
This record from Alexandria describes a geometry-optimized Mn2TeC structure. The functional is GGA-PBE.

Results
Its symmetry is I-42d. The calculation puts the mass density at 6.28 g cm⁻³. As for the total energy: -58.54 eV per cell. As for the uncorrected formation energy: 0.358 eV/atom.

POSCAR file:
```
Mn2TeC
1.0
-2.456 2.456 5.467
2.456 -2.456 5.467
2.456 2.456 -5.467
Mn Te C
4 2 2
direct
0.375 0.240 0.365 Mn
0.760 0.125 0.135 Mn
0.875 0.010 0.635 Mn
0.990 0.625 0.865 Mn
0.250 0.750 0.500 Te
0.500 0.500 0.000 Te
0.000 0.000 0.000 C
0.750 0.250 0.500 C
```

Record 5
This record from Alexandria describes a geometry-optimized In2SiSn structure. The functional is GGA-PBE.

Results
Its symmetry is Fm-3m. The calculation puts the mass density at 6.37 g cm⁻³. As for the total energy: -13.65 eV per cell. As for the uncorrected formation energy: 0.313 eV/atom.

POSCAR file:
```
In2SiSn
1.0
0.000 3.660 3.660
3.660 0.000 3.660
3.660 3.660 0.000
In Si Sn
2 1 1
direct
0.250 0.250 0.250 In
0.750 0.750 0.750 In
0.000 0.000 0.000 Si
0.500 0.500 0.500 Sn
```

Record 6
This record from Alexandria describes a geometry-optimized CoSiAs2 structure. The functional is GGA-PBE.

Results
Its symmetry is R3m. The calculation puts the mass density at 5.83 g cm⁻³. As for the total energy: -21.53 eV per cell. As for the uncorrected formation energy: 0.074 eV/atom.

POSCAR file:
```
CoSiAs2
1.0
1.461 0.843 9.127
-1.461 0.843 9.127
0.000 -1.687 9.127
Co Si As
1 1 2
direct
0.000 0.000 0.000 Co
0.727 0.727 0.727 Si
0.271 0.271 0.271 As
0.471 0.471 0.471 As
```

Record 7
This record from Alexandria describes a geometry-optimized Sr2SiAu2 structure. The functional is GGA-PBE.

Results
Its symmetry is I4/mmm. The calculation puts the mass density at 6.89 g cm⁻³. As for the total energy: -17.65 eV per cell. As for the uncorrected formation energy: -0.462 eV/atom.

POSCAR file:
```
Sr2SiAu2
1.0
-3.083 3.083 3.785
3.083 -3.083 3.785
3.083 3.083 -3.785
Sr Si Au
2 1 2
direct
0.250 0.750 0.500 Sr
0.750 0.250 0.500 Sr
0.000 0.000 0.000 Si
0.325 0.325 0.000 Au
0.675 0.675 0.000 Au
```

Record 8
This record from Alexandria describes a geometry-optimized Sr2HoSb4Pd3 structure. The functional is GGA-PBE.

Results
Its symmetry is P-4m2. The calculation puts the mass density at 7.38 g cm⁻³. As for the total energy: -48.39 eV per cell. As for the uncorrected formation energy: -0.838 eV/atom.

POSCAR file:
```
Sr2HoSb4Pd3
1.0
4.606 0.000 0.000
0.000 4.606 0.000
0.000 0.000 12.163
Sr Ho Sb Pd
2 1 4 3
direct
0.000 0.500 0.235 Sr
0.500 0.000 0.765 Sr
0.000 0.000 0.500 Ho
0.000 0.000 0.000 Sb
0.000 0.500 0.653 Sb
0.500 0.000 0.347 Sb
0.500 0.500 0.000 Sb
0.000 0.500 0.876 Pd
0.500 0.000 0.124 Pd
0.500 0.500 0.500 Pd
```

Record 9
This record from Alexandria describes a geometry-optimized Ca3TlP structure. The functional is GGA-PBE.

Results
Its symmetry is R-3. The calculation puts the mass density at 3.47 g cm⁻³. As for the total energy: -34.03 eV per cell.

POSCAR file:
```
Ca3TlP
1.0
3.543 2.046 7.826
-3.543 2.046 7.826
0.000 -4.091 7.826
Ca Tl P
6 2 2
direct
0.051 0.725 0.434 Ca
0.275 0.566 0.949 Ca
0.434 0.051 0.725 Ca
0.566 0.949 0.275 Ca
0.725 0.434 0.051 Ca
0.949 0.275 0.566 Ca
0.157 0.157 0.157 Tl
0.843 0.843 0.843 Tl
0.342 0.342 0.342 P
0.658 0.658 0.658 P
```

Record 10
This record from Alexandria describes a geometry-optimized KMnSnI5 structure. The functional is GGA-PBE.

Results
Its symmetry is C2/c. The calculation puts the mass density at 3.81 g cm⁻³. As for the total energy: -55.42 eV per cell. As for the uncorrected formation energy: -0.711 eV/atom.

POSCAR file:
```
KMnSnI5
1.0
5.206 -6.786 0.000
5.206 6.786 0.000
-4.731 0.000 10.448
K Mn Sn I
2 2 2 10
direct
0.149 0.851 0.750 K
0.851 0.149 0.250 K
0.183 0.817 0.250 Mn
0.817 0.183 0.750 Mn
0.500 0.500 0.000 Sn
0.500 0.500 0.500 Sn
0.113 0.242 0.938 I
0.162 0.582 0.371 I
0.242 0.113 0.438 I
0.408 0.592 0.750 I
0.418 0.838 0.129 I
0.582 0.162 0.871 I
0.592 0.408 0.250 I
0.758 0.887 0.562 I
0.838 0.418 0.629 I
0.887 0.758 0.062 I
```

Record 11
This record from Alexandria describes a geometry-optimized ScICl2 structure. The functional is GGA-PBE.

Results
Its symmetry is Cc. The calculation puts the mass density at 3.12 g cm⁻³. As for the total energy: -37.27 eV per cell. As for the uncorrected formation energy: -1.765 eV/atom.

POSCAR file:
```
ScICl2
1.0
3.953 -5.530 0.000
3.953 5.530 0.000
-3.679 0.000 5.917
Sc I Cl
2 2 4
direct
0.092 0.908 0.500 Sc
0.908 0.092 0.000 Sc
0.137 0.340 0.801 I
0.340 0.137 0.301 I
0.485 0.985 0.772 Cl
0.749 0.864 0.192 Cl
0.864 0.749 0.692 Cl
0.985 0.485 0.272 Cl
```

Record 12
This record from Alexandria describes a geometry-optimized Ac6CoPd3 structure. The functional is GGA-PBE.

Results
Its symmetry is P2_1/c. The calculation puts the mass density at 8.79 g cm⁻³. As for the total energy: -104.34 eV per cell.

POSCAR file:
```
Ac6CoPd3
1.0
7.267 0.000 0.000
0.000 8.064 0.000
-7.222 0.000 11.218
Ac Co Pd
12 2 6
direct
0.089 0.190 0.423 Ac
0.089 0.310 0.923 Ac
0.245 0.673 0.427 Ac
0.245 0.827 0.927 Ac
0.396 0.050 0.243 Ac
0.396 0.450 0.743 Ac
0.604 0.550 0.257 Ac
0.604 0.950 0.757 Ac
0.755 0.173 0.073 Ac
0.755 0.327 0.573 Ac
0.911 0.690 0.077 Ac
0.911 0.810 0.577 Ac
0.000 0.000 0.000 Co
0.000 0.500 0.500 Co
0.192 0.111 0.748 Pd
0.192 0.389 0.248 Pd
0.500 0.000 0.500 Pd
0.500 0.500 0.000 Pd
0.808 0.611 0.752 Pd
0.808 0.889 0.252 Pd
```

| no. | magnetic moment (μB/cell) |
| --- | --- |
| 1 | 0.000 |
| 2 | 0.000 |
| 3 | 0.000 |
| 4 | 9.957 |
| 5 | 0.000 |
| 6 | 0.501 |
| 7 | 0.000 |
| 8 | 0.000 |
| 9 | 0.000 |
| 10 | 9.991 |
| 11 | 0.000 |
| 12 | 0.000 |